VASP calculation (PBE+U) on a relaxed structure of RbMnIO2.

CIF file:
```
data_RbMnIO2
_chemical_formula_sum 'Rb1 Mn1 I1 O2'
_cell_length_a 4.430
_cell_length_b 4.430
_cell_length_c 5.716
_cell_angle_alpha 90.00
_cell_angle_beta 90.00
_cell_angle_gamma 90.00
_symmetry_space_group_name_H-M 'P 1'
_symmetry_Int_Tables_number 1
loop_
_symmetry_equiv_pos_as_xyz
'x,y,z'
loop_
_atom_site_label
_atom_site_fract_x
_atom_site_fract_y
_atom_site_fract_z
Mn1 0.000 0.000 0.000
O1 0.000 0.500 0.000
O2 0.500 0.000 0.000
Rb1 0.500 0.500 0.500
I1 0.000 0.000 0.500
```

Results
Energy above the lowest structure with this stoichiometry: 0 kJ/mol of formula units
Density: 4.43 g/cm³
Total magnetization: 3.000 μB/f.u.